No. 1
First-principles (PBE) data for a relaxed NaMg4Sn2 crystal, as listed in the Alexandria database.

Values from the calculation:
- final energy (eV/atom) = -1.8692

Lattice parameters (Å, degrees): 5.176 5.176 8.389 72.03 72.03 90.00
Sites, in units of the cell vectors:
Mg (0.000, 0.500, 0.000)
Mg (0.500, 0.000, 0.000)
Sn (0.617, 0.617, 0.766)
Na (0.000, 0.000, 0.000)
Sn (0.383, 0.383, 0.234)
Mg (0.192, 0.192, 0.617)
Mg (0.808, 0.808, 0.383)

No. 2
First-principles (PBE) data for a relaxed NaMgSn4 crystal, as listed in the Alexandria database.

Values from the calculation:
- final energy (eV/atom) = -3.1205

Lattice parameters (Å, degrees): 6.273 6.273 6.273 60.00 60.00 60.00
Sites, in units of the cell vectors:
Mg (0.250, 0.250, 0.250)
Sn (0.625, 0.126, 0.625)
Sn (0.625, 0.625, 0.126)
Na (0.000, 0.000, 0.000)
Sn (0.126, 0.625, 0.625)
Sn (0.625, 0.625, 0.625)

No. 3
First-principles (PBE) data for a relaxed NaMg5Sn2 crystal, as listed in the Alexandria database.

Values from the calculation:
- final energy (eV/atom) = -2.2731

Lattice parameters (Å, degrees): 4.466 7.330 7.330 72.51 72.26 72.26
Sites, in units of the cell vectors:
Mg (0.646, 0.171, 0.537)
Mg (0.354, 0.829, 0.463)
Mg (0.646, 0.537, 0.171)
Sn (0.267, 0.233, 0.233)
Na (0.000, 0.000, 0.000)
Mg (0.000, 0.500, 0.500)
Mg (0.354, 0.463, 0.829)
Sn (0.733, 0.767, 0.767)

No. 4
First-principles (PBE) data for a relaxed NaMgSn5 crystal, as listed in the Alexandria database.

Values from the calculation:
- final energy (eV/atom) = -3.3277

Lattice parameters (Å, degrees): 4.582 4.582 9.079 90.00 90.00 90.00
Sites, in units of the cell vectors:
Mg (0.500, 0.500, 0.000)
Sn (0.000, 0.500, 0.226)
Na (0.000, 0.000, 0.500)
Sn (0.500, 0.000, 0.226)
Sn (0.500, 0.000, 0.774)
Sn (0.500, 0.500, 0.500)
Sn (0.000, 0.500, 0.774)

no.,M_tot (μB/atom),formation energy from the elements (eV per atom)
1,0.000,0.374
2,0.000,0.034
3,0.000,-0.111
4,0.000,-0.052